No. 1
FeTe2ICl (PBE, optimized geometry); E = -3.279 eV/atom; total magnetic moment = 0.0 μB/f.u.; energy above the most stable polymorph in this dataset = 0.0 meV per atom; formation energy without anion corrections = 0.350 eV per atom; crystal system = tetragonal; SG = P4/mmm (123)
1.0
4.961 0.000 0.000
0.000 4.961 0.000
0.000 0.000 5.422
Fe Te I Cl
1 2 1 1
Cartesian
0.000 0.000 0.000 Fe
0.000 2.480 0.000 Te
2.480 0.000 0.000 Te
0.000 0.000 2.711 I
2.480 2.480 2.711 Cl

No. 2
Tl3RhO6 (PBE, optimized geometry); E = -5.081 eV/atom; total magnetic moment = 0.0 μB/f.u.; energy above the most stable polymorph in this dataset = 70.0 meV per atom; formation energy without anion corrections = -0.661 eV per atom; crystal system = monoclinic; SG = P2_1/c (14)
1.0
5.597 0.000 0.000
0.000 5.741 0.000
-5.564 0.000 8.499
Tl Rh O
6 2 12
Cartesian
0.000 0.000 0.000 Tl
-2.782 2.871 4.250 Tl
-2.641 0.283 6.341 Tl
0.141 2.587 2.092 Tl
-0.108 3.154 6.408 Tl
2.674 5.458 2.158 Tl
0.017 0.000 4.250 Rh
2.798 2.871 0.000 Rh
-0.742 0.420 2.385 O
-3.524 2.451 6.635 O
1.260 4.003 0.630 O
-1.522 4.609 4.880 O
1.756 1.307 0.734 O
-1.026 1.563 4.983 O
1.059 4.178 3.516 O
-1.723 4.434 7.766 O
1.555 1.133 3.619 O
-1.227 1.738 7.869 O
3.557 3.290 1.865 O
0.775 5.322 6.114 O

> E of number 2 (Tl3RhO6)?

-5.081 eV/atom